No. 1
## KSr2NpBr8 (PBE)

Data for a geometry-optimized KSr2NpBr8 structure.

Cell: 7.182 7.034 9.430 Å, 90.00 90.00 90.11°
Each line ends with the local moment (μB).
Fractional positions:
K 0.000 0.000 0.500  0.00
Sr 0.500 0.500 0.747  0.00
Sr 0.500 0.500 0.253  0.00
Np 0.000 0.000 0.000  3.98
Br 0.157 0.763 0.219  -0.01
Br 0.673 0.741 0.000  -0.01
Br 0.843 0.237 0.219  -0.01
Br 0.843 0.237 0.781  -0.01
Br 0.327 0.259 0.000  -0.01
Br 0.157 0.763 0.781  -0.01
Br 0.640 0.731 0.500  0.00
Br 0.360 0.269 0.500  0.00

Results
As for the uncorrected formation energy: -171 kJ/mol of atoms.



No. 2
## Pu2HgC (PBE)

Data for a geometry-optimized Pu2HgC structure.

Cell: 3.132 3.132 7.991 Å, 90.00 90.00 90.00°
Each line ends with the local moment (μB).
Fractional positions:
C 0.500 0.500 0.000  -0.23
Hg 0.500 0.500 0.500  0.01
Pu 0.000 0.000 0.828  5.25
Pu 0.000 0.000 0.172  5.25

Results
For the energy relative to the elements, the calculation gives 0.14 eV per formula unit.



No. 3
## BaGe3Pt5 (PBE)

Data for a geometry-optimized BaGe3Pt5 structure.

Cell: 4.073 6.854 13.083 Å, 90.00 90.00 107.28°
Fractional positions:
Ba 0.841 0.682 0.750
Ba 0.159 0.318 0.250
Ge 0.383 0.766 0.961
Ge 0.887 0.775 0.250
Ge 0.383 0.766 0.539
Ge 0.617 0.234 0.461
Ge 0.113 0.225 0.750
Ge 0.617 0.234 0.039
Pt 0.798 0.596 0.427
Pt 0.202 0.404 0.927
Pt 0.000 0.000 0.500
Pt 0.000 0.000 0.000
Pt 0.449 0.897 0.144
Pt 0.551 0.103 0.856
Pt 0.551 0.103 0.644
Pt 0.798 0.596 0.073
Pt 0.202 0.404 0.573
Pt 0.449 0.897 0.356

Results
For the energy relative to the elements, the calculation gives -5.81 eV per formula unit.



No. 4
## RuAuSe2 (PBE)

Data for a geometry-optimized RuAuSe2 structure.

Cell: 5.821 5.821 6.970 Å, 65.32 65.32 90.00°
Fractional positions:
Ru 0.500 0.500 0.000
Ru 0.250 0.750 0.500
Au 0.000 0.000 0.000
Au 0.750 0.250 0.500
Se 0.590 0.125 0.250
Se 0.160 0.625 0.250
Se 0.375 0.410 0.750
Se 0.875 0.840 0.750

Results
As for the uncorrected formation energy: 11 kJ/mol of atoms.



No. 5
## La4NdSm2Tm2 (PBE)

Data for a geometry-optimized La4NdSm2Tm2 structure.

Cell: 5.195 8.180 8.128 Å, 107.27 90.00 108.51°
Fractional positions:
La 0.776 0.552 0.670
La 0.224 0.448 0.330
La 0.554 0.109 0.329
La 0.446 0.891 0.671
Nd 0.000 0.000 0.000
Sm 0.888 0.775 0.330
Sm 0.112 0.225 0.670
Tm 0.331 0.663 0.001
Tm 0.669 0.337 0.999

Results
For the energy relative to the elements, the calculation gives 0.24 eV per formula unit.



No. 6
## Nd2Er2In3 (PBE)

Data for a geometry-optimized Nd2Er2In3 structure.

Cell: 4.626 3.467 12.661 Å, 90.00 79.47 90.00°
Fractional positions:
Nd 0.572 0.500 0.856
Nd 0.428 0.500 0.144
Er 0.704 0.500 0.593
Er 0.296 0.500 0.407
In 0.850 0.000 0.301
In 0.000 0.000 0.000
In 0.150 0.000 0.699

Results
For the energy relative to the elements, the calculation gives -2.14 eV per formula unit. The energy above the most stable polymorph in this dataset comes out at 0 kJ/mol of formula units.



No. 7
## PrNdGdDy (PBE)

Data for a geometry-optimized PrNdGdDy structure.

Cell: 5.777 5.777 5.777 Å, 60.00 60.00 60.00°
Each line ends with the local moment (μB).
Fractional positions:
Pr 0.750 0.750 0.750  0.10
Gd 0.500 0.500 0.500  7.27
Nd 0.250 0.250 0.250  0.10
Dy 0.000 0.000 0.000  0.09

Results
For the energy relative to the elements, the calculation gives 0.44 eV per formula unit.



No. 8
## Pu2MgCo (PBE)

Data for a geometry-optimized Pu2MgCo structure.

Cell: 3.186 3.186 8.650 Å, 90.00 90.00 90.00°
Each line ends with the local moment (μB).
Fractional positions:
Mg 0.500 0.500 0.500  -0.01
Co 0.500 0.500 0.000  -1.05
Pu 0.000 0.000 0.802  5.38
Pu 0.000 0.000 0.198  5.38

Results
For the energy relative to the elements, the calculation gives 0.26 eV per formula unit. The energy above the most stable polymorph in this dataset comes out at 0 kJ/mol of formula units.



No. 9
## PmLuHf2 (PBE)

Data for a geometry-optimized PmLuHf2 structure.

Cell: 3.310 3.310 11.119 Å, 81.44 81.44 60.00°
Fractional positions:
Lu 0.500 0.500 0.500
Hf 0.752 0.752 0.745
Hf 0.248 0.248 0.255
Pm 0.000 0.000 0.000

Results
For the energy relative to the elements, the calculation gives 0.84 eV per formula unit. The energy above the most stable polymorph in this dataset comes out at 3 kJ/mol of formula units.



No. 10
## SrZn2GaPd (PBE)

Data for a geometry-optimized SrZn2GaPd structure.

Cell: 4.907 4.907 4.831 Å, 90.00 90.00 90.00°
Fractional positions:
Sr 0.500 0.500 0.500
Zn 0.000 0.500 0.000
Zn 0.500 0.000 0.000
Ga 0.000 0.000 0.500
Pd 0.000 0.000 0.000

Results
For the energy relative to the elements, the calculation gives -1.60 eV per formula unit. The energy above the most stable polymorph in this dataset comes out at 59 kJ/mol of formula units.



No. 11
## KTa2Ni (PBE)

Data for a geometry-optimized KTa2Ni structure.

Cell: 10.880 10.880 10.880 Å, 15.41 15.41 15.41°
Fractional positions:
K 0.250 0.250 0.250
Ni 0.750 0.750 0.750
Ta 0.019 0.019 0.019
Ta 0.481 0.481 0.481

Results
For the energy relative to the elements, the calculation gives 2.85 eV per formula unit. The energy above the most stable polymorph in this dataset comes out at 83 kJ/mol of formula units.



No. 12
## TcPd3 (PBE)

Data for a geometry-optimized TcPd3 structure.

Cell: 2.755 4.832 5.306 Å, 117.08 105.05 90.00°
Fractional positions:
Tc 0.000 0.999 0.000
Pd 0.255 0.591 0.509
Pd 0.500 0.494 0.000
Pd 0.745 0.082 0.491

Results
For the energy relative to the elements, the calculation gives 0.41 eV per formula unit.



No. 13
## LiAlPt (PBE)

Data for a geometry-optimized LiAlPt structure.

Cell: 4.159 4.159 5.419 Å, 90.00 90.00 120.00°
Fractional positions:
Li 0.333 0.667 0.750
Li 0.667 0.333 0.250
Al 0.333 0.667 0.250
Al 0.667 0.333 0.750
Pt 0.000 0.000 0.000
Pt 0.000 0.000 0.500

Results
For the energy relative to the elements, the calculation gives -2.18 eV per formula unit. The energy above the most stable polymorph in this dataset comes out at 23 kJ/mol of formula units.



No. 14
## SrBeH2F8 (PBE)

Data for a geometry-optimized SrBeH2F8 structure.

Cell: 4.581 4.797 7.155 Å, 89.89 89.88 60.05°
Each line ends with the local moment (μB).
Fractional positions:
Sr 0.000 0.000 0.500  -0.01
Be 0.000 0.000 0.000  -0.01
H 0.501 0.500 0.825  0.00
H 0.499 0.500 0.175  0.00
F 0.236 0.723 0.184  0.02
F 0.741 0.837 0.000  0.49
F 0.763 0.276 0.183  0.02
F 0.764 0.277 0.816  0.02
F 0.259 0.163 0.000  0.49
F 0.237 0.724 0.817  0.02
F 0.643 0.745 0.499  0.39
F 0.357 0.255 0.501  0.39

Results
As for the calculated total energy: -53.3 eV/cell.



No. 15
## CsAgO2 (PBE)

Data for a geometry-optimized CsAgO2 structure.

Cell: 7.610 7.610 7.610 Å, 31.20 31.20 31.20°
Each line ends with the local moment (μB).
Fractional positions:
Cs 0.500 0.500 0.500  0.05
O 0.912 0.912 0.912  0.65
O 0.088 0.088 0.088  0.65
Ag 0.000 0.000 0.000  0.38

Results
As for the uncorrected formation energy: -21 kJ/mol of atoms.



No. 16
## RbTmSe2O8 (PBE)

Data for a geometry-optimized RbTmSe2O8 structure.

Cell: 5.474 5.474 8.684 Å, 90.00 90.00 120.00°
Fractional positions:
Rb 0.000 0.000 0.000
Tm 0.000 0.000 0.500
Se 0.667 0.333 0.277
Se 0.333 0.667 0.723
O 0.333 0.667 0.913
O 0.352 0.268 0.343
O 0.732 0.084 0.343
O 0.667 0.333 0.087
O 0.268 0.916 0.657
O 0.648 0.732 0.657
O 0.084 0.352 0.657
O 0.916 0.648 0.343

Results
As for the uncorrected formation energy: -151 kJ/mol of atoms.



No. 17
## LiAsPSe2 (PBE)

Data for a geometry-optimized LiAsPSe2 structure.

Cell: 4.658 4.658 4.458 Å, 90.00 90.00 90.00°
Fractional positions:
P 0.500 0.500 0.500
As 0.000 0.000 0.500
Se 0.000 0.500 0.000
Se 0.500 0.000 0.000
Li 0.000 0.000 0.000

Results
As for the uncorrected formation energy: 67 kJ/mol of atoms. The energy above the most stable polymorph in this dataset comes out at 231 kJ/mol of formula units.



No. 18
## LaCo4Sb12 (PBE)

Data for a geometry-optimized LaCo4Sb12 structure.

Cell: 7.981 7.981 7.981 Å, 109.47 109.47 109.47°
Fractional positions:
La 0.000 0.000 0.000
Co 0.000 0.500 0.000
Co 0.500 0.000 0.000
Co 0.500 0.500 0.500
Co 0.000 0.000 0.500
Sb 0.838 0.335 0.173
Sb 0.335 0.497 0.162
Sb 0.827 0.162 0.665
Sb 0.335 0.173 0.838
Sb 0.173 0.838 0.335
Sb 0.665 0.503 0.838
Sb 0.497 0.162 0.335
Sb 0.503 0.838 0.665
Sb 0.665 0.827 0.162
Sb 0.838 0.665 0.503
Sb 0.162 0.335 0.497
Sb 0.162 0.665 0.827

Results
As for the uncorrected formation energy: -26 kJ/mol of atoms.



No. 19
## CeNi5Pd (PBE)

Data for a geometry-optimized CeNi5Pd structure.

Cell: 4.856 7.875 10.177 Å, 90.00 90.00 90.00°
Each line ends with the local moment (μB).
Fractional positions:
Ce 0.250 0.242 0.939  -0.14
Ce 0.750 0.258 0.439  -0.14
Ce 0.250 0.742 0.561  -0.14
Ce 0.750 0.758 0.061  -0.14
Ni 0.250 0.603 0.021  0.08
Ni 0.750 0.897 0.521  0.08
Ni 0.250 0.103 0.479  0.08
Ni 0.750 0.397 0.979  0.08
Ni 0.750 0.318 0.750  0.18
Ni 0.250 0.182 0.250  0.18
Ni 0.750 0.818 0.750  0.18
Ni 0.250 0.682 0.250  0.18
Ni 0.250 0.939 0.106  0.07
Ni 0.750 0.561 0.606  0.07
Ni 0.250 0.439 0.394  0.07
Ni 0.750 0.061 0.894  0.07
Ni 0.998 0.429 0.184  0.17
Ni 0.002 0.071 0.684  0.17
Ni 0.502 0.929 0.316  0.17
Ni 0.498 0.571 0.816  0.17
Ni 0.002 0.571 0.816  0.17
Ni 0.998 0.929 0.316  0.17
Ni 0.498 0.071 0.684  0.17
Ni 0.502 0.429 0.184  0.17
Pd 0.250 0.867 0.859  0.02
Pd 0.750 0.633 0.359  0.02
Pd 0.250 0.367 0.641  0.02
Pd 0.750 0.133 0.141  0.02

Results
For the energy relative to the elements, the calculation gives -1.98 eV per formula unit.



No. 20
## La6ZnRh2Br3 (PBE)

Data for a geometry-optimized La6ZnRh2Br3 structure.

Cell: 7.381 7.381 8.243 Å, 98.62 98.62 119.99°
Fractional positions:
La 0.933 0.580 0.797
La 0.716 0.716 0.203
La 0.067 0.420 0.203
La 0.580 0.933 0.797
La 0.284 0.284 0.797
La 0.420 0.067 0.203
Zn 0.000 0.000 0.000
Rh 0.333 0.667 0.000
Rh 0.667 0.333 0.000
Br 0.164 0.836 0.500
Br 0.836 0.164 0.500
Br 0.500 0.500 0.500

Results
As for the uncorrected formation energy: -98 kJ/mol of atoms.



Number 1: D(E_F) 0.388 states/eV/atom. Number 2: D(E_F) 2.370 states/eV/atom. Number 3: D(E_F) 0.363 states/eV/atom. Number 4: D(E_F) 0.907 states/eV/atom. Number 5: D(E_F) 1.725 states/eV/atom. Number 6: D(E_F) 1.010 states/eV/atom. Number 7: D(E_F) 2.145 states/eV/atom. Number 8: D(E_F) 2.912 states/eV/atom. Number 9: D(E_F) 1.381 states/eV/atom. Number 10: D(E_F) 0.604 states/eV/atom. Number 11: D(E_F) 0.713 states/eV/atom. Number 12: D(E_F) 1.168 states/eV/atom. Number 13: D(E_F) 0.261 states/eV/atom. Number 14: D(E_F) 0.303 states/eV/atom. Number 15: D(E_F) 0.000 states/eV/atom. Number 16: D(E_F) 0.000 states/eV/atom. Number 17: D(E_F) 0.741 states/eV/atom. Number 18: D(E_F) 0.815 states/eV/atom. Number 19: D(E_F) 1.224 states/eV/atom. Number 20: D(E_F) 0.795 states/eV/atom.